DFT (meta-GGA SCAN) results for CdReRu2 at its PBEsol-relaxed geometry.

Total DFT energy (no corrections) (eV per atom): -42.3522
DFT formation energy (eV/atom): 0.44
Total magnetic moment (μB/atom): 0.000

a = 4.0063 Å, b = 4.0063 Å, c = 7.3551 Å
α = 90.00°, β = 90.00°, γ = 90.00°
Space group I4/mmm (No. 139)
Unique sites:
Cd  0.0000  0.0000  0.0000
Re  0.0000  0.0000  0.5000
Ru  0.0000  0.5000  0.2500

DFT (meta-GGA SCAN) results for RePt5 at its PBEsol-relaxed geometry.

Total DFT energy (no corrections) (eV per atom): -70.3365
DFT formation energy (eV/atom): 0.01
Total magnetic moment (μB/atom): 0.000
Energy above the most stable polymorph in this dataset (eV/atom): 0.074

a = 4.7469 Å, b = 4.7469 Å, c = 4.5739 Å
α = 90.00°, β = 90.00°, γ = 120.00°
Space group P-62m (No. 189)
Unique sites:
Re  0.0000  0.0000  0.0000
Pt  0.0000  0.3246  0.5000
Pt  0.3333  0.6667  0.0000

DFT (meta-GGA SCAN) results for Cu2ReAu at its PBEsol-relaxed geometry.

Total DFT energy (no corrections) (eV per atom): -42.3089
DFT formation energy (eV/atom): 0.35
Total magnetic moment (μB/atom): 0.001
Energy above the most stable polymorph in this dataset (eV/atom): 0.000

a = 2.5986 Å, b = 4.1226 Å, c = 5.2231 Å
α = 90.00°, β = 104.39°, γ = 90.00°
Space group Pm (No. 6)
Unique sites:
Cu  0.0000  0.0000  0.0000
Cu  0.1255  0.5000  0.2603
Re  0.7299  0.0000  0.4665
Au  0.3834  0.5000  0.7708

DFT (meta-GGA SCAN) results for KTl3Ge at its PBEsol-relaxed geometry.

Total DFT energy (no corrections) (eV per atom): -47.9258
DFT formation energy (eV/atom): 0.97
Total magnetic moment (μB/atom): 0.000

a = 5.7938 Å, b = 5.7938 Å, c = 5.7938 Å
α = 90.00°, β = 90.00°, γ = 90.00°
Space group Pm-3m (No. 221)
Unique sites:
K  0.0000  0.0000  0.0000
Tl  0.0000  0.0000  0.5000
Ge  0.5000  0.5000  0.5000

DFT (meta-GGA SCAN) results for NbInO4 at its PBEsol-relaxed geometry.

Energy relative to the elements, uncorrected (kJ/mol of atoms): -231.26
Total DFT energy (no corrections) (eV per atom): -17.6371
Total magnetic moment (μB/atom): 0.000

a = 4.8715 Å, b = 5.8222 Å, c = 5.1649 Å
α = 90.00°, β = 90.85°, γ = 90.00°
Space group P2/c (No. 13)
Unique sites:
Nb  0.0000  0.1791  0.2500
In  0.5000  0.3191  0.7500
O  0.2158  0.1013  0.9366
O  0.2609  0.3832  0.4028

DFT (meta-GGA SCAN) results for HgIr2Os at its PBEsol-relaxed geometry.

Total DFT energy (no corrections) (eV per atom): -70.0347
DFT formation energy (eV/atom): 0.53
Total magnetic moment (μB/atom): 0.000

a = 9.1530 Å, b = 2.7799 Å, c = 4.8920 Å
α = 90.00°, β = 99.71°, γ = 90.00°
Space group Cm (No. 8)
Unique sites:
Hg  0.0000  0.0000  0.0000
Ir  0.2411  0.0000  0.7467
Ir  0.4987  0.0000  0.4923
Os  0.2608  0.5000  0.2936

DFT (meta-GGA SCAN) results for CdIr3Pd at its PBEsol-relaxed geometry.

Total DFT energy (no corrections) (eV per atom): -53.2656
DFT formation energy (eV/atom): 2.03
Total magnetic moment (μB/atom): 0.820

a = 4.6935 Å, b = 4.6935 Å, c = 4.6935 Å
α = 90.00°, β = 90.00°, γ = 90.00°
Space group Pm-3m (No. 221)
Unique sites:
Cd  0.0000  0.0000  0.0000
Ir  0.0000  0.5000  0.5000
Pd  0.5000  0.5000  0.5000

DFT (meta-GGA SCAN) results for Cs3Sm7Te12 at its PBEsol-relaxed geometry.

Energy relative to the elements, uncorrected (kJ/mol of atoms): -154.76
Total DFT energy (no corrections) (eV per atom): -41.2194
Total magnetic moment (μB/atom): 0.000

a = 4.4464 Å, b = 13.6573 Å, c = 28.0974 Å
α = 90.00°, β = 90.00°, γ = 90.00°
Space group Pmn2_1 (No. 31)
Unique sites:
Cs  0.0000  0.0308  0.0000
Cs  0.0000  0.3064  0.6551
Cs  0.0000  0.4631  0.2622
Sm  0.0000  0.1588  0.3415
Sm  0.0000  0.2552  0.1284
Sm  0.0000  0.3394  0.9141
Sm  0.0000  0.5331  0.5418
Sm  0.0000  0.6705  0.9462
Sm  0.0000  0.8327  0.3091
Sm  0.0000  0.9618  0.7116
Te  0.0000  0.0035  0.8254
Te  0.0000  0.1753  0.4511
Te  0.0000  0.1913  0.2328
Te  0.0000  0.3120  0.0228
Te  0.0000  0.3235  0.8026
Te  0.0000  0.4962  0.4286
Te  0.0000  0.5876  0.6484
Te  0.0000  0.6231  0.0524
Te  0.0000  0.6883  0.8379
Te  0.0000  0.8140  0.4176
Te  0.0000  0.8830  0.2026
Te  0.0000  0.8981  0.6078

DFT (meta-GGA SCAN) results for Zr5Ir3 at its PBEsol-relaxed geometry.

Total DFT energy (no corrections) (eV per atom): -46.7643
DFT formation energy (eV/atom): -0.92
Total magnetic moment (μB/atom): 0.000
Energy above the most stable polymorph in this dataset (eV/atom): 0.048

a = 10.4524 Å, b = 10.4524 Å, c = 5.4894 Å
α = 90.00°, β = 90.00°, γ = 90.00°
Space group I4/mcm (No. 140)
Unique sites:
Zr  0.0000  0.5000  0.2500
Zr  0.0782  0.2165  0.0000
Ir  0.0000  0.0000  0.2500
Ir  0.1666  0.3334  0.5000

DFT (meta-GGA SCAN) results for BeSiTe at its PBEsol-relaxed geometry.

Energy relative to the elements, uncorrected (kJ/mol of atoms): 59.71
Total DFT energy (no corrections) (eV per atom): -16.5880
Total magnetic moment (μB/atom): 0.000
Energy above the most stable polymorph in this dataset (eV/atom): 0.000

a = 3.8181 Å, b = 5.6887 Å, c = 10.6695 Å
α = 90.00°, β = 90.00°, γ = 90.00°
Space group Fmm2 (No. 42)
Unique sites:
Be  0.0000  0.0000  0.0000
Si  0.0000  0.0000  0.3914
Te  0.0000  0.0000  0.6510

DFT (meta-GGA SCAN) results for MgCd2Pt at its PBEsol-relaxed geometry.

Total DFT energy (no corrections) (eV per atom): -34.4089
DFT formation energy (eV/atom): -0.41
Total magnetic moment (μB/atom): 0.000

a = 4.0662 Å, b = 4.0662 Å, c = 4.2941 Å
α = 90.00°, β = 90.00°, γ = 90.00°
Space group P4/mmm (No. 123)
Unique sites:
Mg  0.0000  0.0000  0.0000
Cd  0.0000  0.5000  0.5000
Pt  0.5000  0.5000  0.0000

DFT (meta-GGA SCAN) results for AgPt2 at its PBEsol-relaxed geometry.

Total DFT energy (no corrections) (eV per atom): -57.2476
DFT formation energy (eV/atom): 0.00
Total magnetic moment (μB/atom): 0.000
Energy above the most stable polymorph in this dataset (eV/atom): 0.005

a = 5.2371 Å, b = 5.2371 Å, c = 8.3542 Å
α = 90.00°, β = 90.00°, γ = 120.00°
Space group P6_3/mmc (No. 194)
Unique sites:
Ag  0.3333  0.6667  0.0622
Pt  0.0000  0.0000  0.0000
Pt  0.1705  0.3410  0.7500